## Ac6PrTm (GGA-PBE)

Data for a relaxed Ac6PrTm crystal.

**ΔH_f (0 K)**: 0.90 eV/f.u.
**Magnetization**: 0.00 μB/f.u.
**N(E_F)**: 13.7 states/eV/f.u.

Cell and atoms, written as POSCAR:
```
Ac6PrTm
1.0
8.7645 -3.1914 0.0000
8.7645 3.1914 0.0000
-2.4053 0.0000 6.0367
Ac Pr Tm
6 1 1
Direct
0.1186 0.1186 0.0886 Ac
0.2521 0.2521 0.7076 Ac
0.3808 0.3808 0.3457 Ac
0.6192 0.6192 0.6543 Ac
0.7479 0.7479 0.2924 Ac
0.8814 0.8814 0.9114 Ac
0.0000 0.0000 0.5000 Pr
0.5000 0.5000 0.0000 Tm
```

## AcPrTm3 (GGA-PBE)

Data for a relaxed AcPrTm3 crystal.

**ΔH_f (0 K)**: 0.24 eV/f.u.
**Magnetization**: 0.00 μB/f.u.
**N(E_F)**: 8.1 states/eV/f.u.

Cell and atoms, written as POSCAR:
```
AcPrTm3
1.0
9.4224 0.0000 0.0000
0.0000 6.4012 0.0000
-5.1211 0.0000 11.3714
Ac Pr Tm
4 4 12
Direct
0.1550 0.1725 0.1026 Ac
0.1550 0.3275 0.6026 Ac
0.8450 0.6725 0.3974 Ac
0.8450 0.8275 0.8974 Ac
0.2613 0.6649 0.0016 Pr
0.2613 0.8351 0.5016 Pr
0.7387 0.1649 0.4984 Pr
0.7387 0.3351 0.9984 Pr
0.0514 0.6655 0.2051 Tm
0.0514 0.8345 0.7051 Tm
0.3546 0.1618 0.9017 Tm
0.3546 0.3382 0.4017 Tm
0.4466 0.6733 0.7997 Tm
0.4466 0.8267 0.2997 Tm
0.5534 0.1733 0.7003 Tm
0.5534 0.3267 0.2003 Tm
0.6454 0.6618 0.5983 Tm
0.6454 0.8382 0.0983 Tm
0.9486 0.1655 0.2949 Tm
0.9486 0.3345 0.7949 Tm
```